A relaxed KAl3Pd crystal, computed with GGA-PBE.

## Properties
crystal system = cubic
calculated total energy = -8.68 eV/cell
formation energy = 1.767 eV/atom
M_tot = 0.00 μB per cell

Cell lengths 5.5024, 5.5024, 5.5024 Å; angles 90.00, 90.00, 90.00 degrees
Closest atoms and distances in Å follow each position.
Element x y z (fractional)
1 K 0.0000 0.0000 0.0000  6 Al 2.75
2 Al 0.0000 0.0000 0.5000  2 K 2.75
3 Al 0.0000 0.5000 0.0000  2 K 2.75
4 Al 0.5000 0.0000 0.0000  2 K 2.75
5 Pd 0.5000 0.5000 0.5000  12 Al 3.89